P:
First-principles (PBE) data for TmGa4 after structural relaxation, as listed in the Alexandria database.

extended XYZ file:
```
5
Lattice="-4.143 -2.365 -2.673 0.379 -4.364 3.273 -3.549 2.295 3.470" Properties=species:S:1:pos:R:3 pbc="T T T"
Tm -3.656 -2.217 2.035
Ga 0.000 0.000 0.000
Ga -3.846 -0.035 0.398
Ga -1.585 -1.035 3.372
Ga -1.882 -3.365 0.300
```


Q:
First-principles (PBE) data for TmGa4 after structural relaxation, as listed in the Alexandria database.

extended XYZ file:
```
10
Lattice="-1.434 3.491 1.982 -5.650 -0.820 -2.645 1.550 -5.262 5.804" Properties=species:S:1:pos:R:3 pbc="T T T"
Tm -0.846 -1.087 5.885
Tm -4.689 -1.504 -0.744
Ga -1.821 -1.011 0.461
Ga -3.713 -1.580 4.679
Ga -0.717 1.745 0.991
Ga -3.542 1.336 -0.332
Ga -1.679 0.180 3.052
Ga -3.856 -2.770 2.088
Ga -1.391 -2.413 3.242
Ga -4.143 -0.178 1.899
```


R:
First-principles (PBE) data for TmGa4 after structural relaxation, as listed in the Alexandria database.

extended XYZ file:
```
20
Lattice="5.112 0.000 0.000 0.000 9.547 0.000 0.000 0.000 9.547" Properties=species:S:1:pos:R:3 pbc="T T T"
Tm 0.000 1.249 6.023
Tm 0.000 6.023 8.297
Tm 0.000 3.524 1.249
Tm 0.000 8.297 3.524
Ga 2.556 8.596 5.724
Ga 2.556 5.724 0.951
Ga 2.556 3.823 8.596
Ga 2.556 0.951 3.823
Ga 2.556 8.523 1.946
Ga 2.556 1.946 1.023
Ga 2.556 7.601 8.523
Ga 2.556 1.023 7.601
Ga 2.556 5.797 6.719
Ga 2.556 3.750 2.827
Ga 2.556 6.719 3.750
Ga 2.556 2.827 5.797
Ga 1.170 0.000 0.000
Ga 3.943 4.773 4.773
Ga 3.943 0.000 0.000
Ga 1.170 4.773 4.773
```


In kJ/mol of atoms, relative to the most stable structure: P 98.6; Q 0.0; R 37.4.


P:
First-principles (PBE) data for TmUGa2 after structural relaxation, as listed in the Alexandria database.

extended XYZ file:
```
4
Lattice="-2.394 0.636 1.609 -0.388 -5.177 1.470 3.137 0.980 4.280" Properties=species:S:1:pos:R:3 pbc="T T T"
Tm 0.177 -1.780 3.679
U -1.197 0.318 0.804
Ga 1.568 0.490 2.140
Ga -0.194 -2.589 0.735
```


Q:
First-principles (PBE) data for TmUGa2 after structural relaxation, as listed in the Alexandria database.

extended XYZ file:
```
4
Lattice="-2.288 -2.196 0.317 -0.212 -2.394 -2.093 5.148 -6.955 5.010" Properties=species:S:1:pos:R:3 pbc="T T T"
Tm 1.324 -5.772 1.617
U 0.000 0.000 0.000
Ga 1.962 -8.637 2.403
Ga 0.686 -2.908 0.831
```


In kJ/mol of atoms, relative to the most stable structure: P 0.0; Q 12.6.